Material: Hf3InCo
Method: DFT, PBE
State: relaxed

Calculated values
Symmetry ... No. 11
Energy relative to the lowest polymorph listed for this composition ... 0.00 eV per formula unit
Density of states at the Fermi level ... 8.60 states/eV per cell
Calculated formation energy ... -0.216 eV per atom

Unit cell a=3.3237 b=8.3598 c=7.4049 alpha=102.25 beta=90.00 gamma=90.00
Closest atoms and distances in Å follow each position.
Atoms (fractional coordinates):
Hf 0.7500 0.8561 0.8826  2 Co 2.75
Hf 0.2500 0.4874 0.8187  3 Co 2.57-2.60
Hf 0.7500 0.9141 0.3217  2 Co 2.58
Hf 0.2500 0.0859 0.6783  2 Co 2.58
Hf 0.7500 0.5126 0.1813  3 Co 2.57-2.60
Hf 0.2500 0.1439 0.1174  2 Co 2.75
Co 0.2500 0.7256 0.1093  7 Hf 2.57-2.75
Co 0.7500 0.2744 0.8907  7 Hf 2.57-2.75
In 0.7500 0.2990 0.4707  8 Hf 3.07-3.19, 1 Co 3.16, 2 In 3.32
In 0.2500 0.7010 0.5293  8 Hf 3.07-3.19, 1 Co 3.16, 2 In 3.32